# GGA-PBE PmAl2Ag5, relaxed
# Calculated formation energy = -0.162 eV per atom
# Total DFT energy (no corrections) = -3.47 eV/atom
# V = 20.0 A^3/atom
data_PmAl2Ag5
_chemical_formula_sum 'Pm2 Al4 Ag10'
_cell_length_a 4.0564
_cell_length_b 7.6540
_cell_length_c 10.3307
_cell_angle_alpha 90.00
_cell_angle_beta 90.00
_cell_angle_gamma 90.00
_symmetry_space_group_name_H-M 'I m m m'
_symmetry_Int_Tables_number 71
_symmetry_space_group_name_Hall '-I 2 2'
loop_
_atom_site_label
_atom_site_type_symbol
_atom_site_fract_x
_atom_site_fract_y
_atom_site_fract_z
Pm1 Pm 0.0000 0.0000 0.0000
Al1 Al 0.0000 0.5000 0.2547
Ag1 Ag 0.0000 0.1930 0.3559
Ag2 Ag 0.0000 0.5000 0.0000


# GGA-PBE PmAl2Ag2, relaxed
# Calculated formation energy = -0.336 eV per atom
# Total DFT energy (no corrections) = -3.92 eV/atom
# V = 20.9 A^3/atom
# Relative energy among the computed polymorphs = 0.0 meV per atom
data_PmAl2Ag2
_chemical_formula_sum 'Pm2 Al4 Ag4'
_cell_length_a 4.4272
_cell_length_b 4.4272
_cell_length_c 10.6509
_cell_angle_alpha 90.00
_cell_angle_beta 90.00
_cell_angle_gamma 90.00
_symmetry_space_group_name_H-M 'I 4/m m m'
_symmetry_Int_Tables_number 139
_symmetry_space_group_name_Hall '-I 4 2'
loop_
_atom_site_label
_atom_site_type_symbol
_atom_site_fract_x
_atom_site_fract_y
_atom_site_fract_z
Pm1 Pm 0.0000 0.0000 0.0000
Al1 Al 0.0000 0.0000 0.3815
Ag1 Ag 0.0000 0.5000 0.2500


# GGA-PBE Pm3AlAg4, relaxed
# Calculated formation energy = -0.103 eV per atom
# Total DFT energy (no corrections) = -3.78 eV/atom
# V = 25.4 A^3/atom
data_Pm3AlAg4
_chemical_formula_sum 'Pm6 Al2 Ag8'
_cell_length_a 3.5222
_cell_length_b 9.2460
_cell_length_c 12.4782
_cell_angle_alpha 90.00
_cell_angle_beta 90.00
_cell_angle_gamma 90.00
_symmetry_space_group_name_H-M 'I m m m'
_symmetry_Int_Tables_number 71
_symmetry_space_group_name_Hall '-I 2 2'
loop_
_atom_site_label
_atom_site_type_symbol
_atom_site_fract_x
_atom_site_fract_y
_atom_site_fract_z
Pm1 Pm 0.0000 0.0000 0.0000
Pm2 Pm 0.0000 0.5000 0.2121
Al1 Al 0.0000 0.0000 0.5000
Ag1 Ag 0.0000 0.2556 0.3830


# GGA-PBE Pm2Al3Ag, relaxed
# Calculated formation energy = -0.456 eV per atom
# Total DFT energy (no corrections) = -4.39 eV/atom
# V = 21.4 A^3/atom
# Relative energy among the computed polymorphs = 0.0 meV per atom
data_Pm2Al3Ag
_chemical_formula_sum 'Pm4 Al6 Ag2'
_cell_length_a 5.7411
_cell_length_b 5.7411
_cell_length_c 8.9783
_cell_angle_alpha 90.00
_cell_angle_beta 90.00
_cell_angle_gamma 120.00
_symmetry_space_group_name_H-M 'P 63/m m c'
_symmetry_Int_Tables_number 194
_symmetry_space_group_name_Hall '-P 6c 2c'
loop_
_atom_site_label
_atom_site_type_symbol
_atom_site_fract_x
_atom_site_fract_y
_atom_site_fract_z
Pm1 Pm 0.3333 0.6667 0.0752
Al1 Al 0.1710 0.3419 0.7500
Ag1 Ag 0.0000 0.0000 0.0000


- What is the formula in the second record?
  PmAl2Ag2


- Among the records above, which one has the highest calculated formation energy?
  Pm3AlAg4


Copy entry 1 word for word.
# GGA-PBE PmAl2Ag5, relaxed
# Calculated formation energy = -0.162 eV per atom
# Total DFT energy (no corrections) = -3.47 eV/atom
# V = 20.0 A^3/atom
data_PmAl2Ag5
_chemical_formula_sum 'Pm2 Al4 Ag10'
_cell_length_a 4.0564
_cell_length_b 7.6540
_cell_length_c 10.3307
_cell_angle_alpha 90.00
_cell_angle_beta 90.00
_cell_angle_gamma 90.00
_symmetry_space_group_name_H-M 'I m m m'
_symmetry_Int_Tables_number 71
_symmetry_space_group_name_Hall '-I 2 2'
loop_
_atom_site_label
_atom_site_type_symbol
_atom_site_fract_x
_atom_site_fract_y
_atom_site_fract_z
Pm1 Pm 0.0000 0.0000 0.0000
Al1 Al 0.0000 0.5000 0.2547
Ag1 Ag 0.0000 0.1930 0.3559
Ag2 Ag 0.0000 0.5000 0.0000